No. 1
! Ta2AlGa | Alexandria via LeMat-Bulk | GGA-PBE | relaxed; values from VASP
! Energy of formation from the pure elements   1.042 eV per formula unit
! Total DFT energy (no corrections)   -7.358 eV per atom
&SYSTEM
  ibrav = 0, nat = 8, ntyp = 3
/
ATOMIC_SPECIES
Ta 180.95 Ta.upf
Al 26.98 Al.upf
Ga 69.72 Ga.upf
ATOMIC_POSITIONS angstrom
Ta 5.381 1.763 -0.698
Ta 1.763 1.794 0.698
Ta -1.794 1.824 2.093
Ta 1.824 1.794 3.489
Al 3.587 0.000 1.396
Al 0.000 0.000 2.791
Ga 0.000 0.000 0.000
Ga 0.000 3.587 1.396
CELL_PARAMETERS angstrom
-3.587 3.587 2.791
3.587 -3.587 2.791
3.587 3.587 -2.791

---

No. 2
! H2S8Br | Alexandria via LeMat-Bulk | GGA-PBE | relaxed; values from VASP
! Total DFT energy (no corrections)   -3.581 eV per atom
&SYSTEM
  ibrav = 0, nat = 11, ntyp = 3
/
ATOMIC_SPECIES
H 1.01 H.upf
S 32.06 S.upf
Br 79.90 Br.upf
ATOMIC_POSITIONS angstrom
H 3.444 7.935 0.000
H 3.444 -7.935 0.000
S -0.386 0.000 0.899
S 1.562 3.963 0.446
S 1.724 5.070 2.110
S 1.562 -3.963 0.446
S 1.885 3.963 3.774
S 1.724 -5.070 2.110
S 1.885 -3.963 3.774
S 3.833 0.000 3.321
Br 1.724 0.000 2.110
CELL_PARAMETERS angstrom
3.444 -12.070 0.000
3.444 12.070 0.000
-3.440 0.000 4.220

---

No. 3
! PdPtBr3 | Alexandria via LeMat-Bulk | GGA-PBE | relaxed; values from VASP
! Total DFT energy (no corrections)   -2.847 eV per atom
! Raw formation energy   403 meV/atom
&SYSTEM
  ibrav = 0, nat = 5, ntyp = 3
/
ATOMIC_SPECIES
Pd 106.42 Pd.upf
Pt 195.08 Pt.upf
Br 79.90 Br.upf
ATOMIC_POSITIONS angstrom
Pd 0.000 0.000 0.000
Pt 2.566 2.566 2.566
Br 0.000 2.566 2.566
Br 2.566 0.000 2.566
Br 2.566 2.566 0.000
CELL_PARAMETERS angstrom
5.132 0.000 0.000
0.000 5.132 0.000
0.000 0.000 5.132

---

No. 4
! Pm3Tl3InTe8 | Alexandria via LeMat-Bulk | GGA-PBE | relaxed; values from VASP
! Total DFT energy (no corrections)   -4.119 eV per atom
! Raw formation energy   -837 meV/atom
&SYSTEM
  ibrav = 0, nat = 15, ntyp = 4
/
ATOMIC_SPECIES
Pm 145.00 Pm.upf
Tl 204.38 Tl.upf
In 114.82 In.upf
Te 127.60 Te.upf
ATOMIC_POSITIONS angstrom
Pm -2.241 -1.294 8.141
Pm -2.241 1.294 16.281
Pm 0.000 2.587 8.141
Tl -4.482 0.000 12.211
Tl -2.241 1.294 4.070
Tl 2.241 1.294 4.070
In 0.000 0.000 0.000
Te 0.000 -2.674 9.887
Te -2.315 1.337 9.887
Te -2.315 -1.337 14.535
Te 0.000 0.000 6.329
Te 0.000 0.000 18.093
Te 2.315 1.337 9.887
Te 2.315 -1.337 14.535
Te 0.000 2.674 14.535
CELL_PARAMETERS angstrom
4.482 2.587 8.141
-4.482 2.587 8.141
0.000 -5.175 8.141